Computed, not measured: a relaxed structure of Pr4Zn3Ag5 at the PBE level of DFT.

## Properties
The value obtained for the total energy is -77.2 eV/cell. Its formation energy is -1.42 eV per formula unit. For the size of the total moment, the calculation gives 0.00 μB per formula unit.

Geometry as CIF:
```
data_Pr4Zn3Ag5
_chemical_formula_sum 'Pr8 Zn6 Ag10'
_symmetry_space_group_name_H-M 'C 1 2/m 1'
_symmetry_Int_Tables_number 12
_cell_length_a 13.873
_cell_length_b 4.849
_cell_length_c 11.291
_cell_angle_alpha 90.00
_cell_angle_beta 127.64
_cell_angle_gamma 90.00
loop_
_symmetry_equiv_pos_as_xyz
'x,y,z'
'-x,-y,-z'
'-x,y,-z'
'x,-y,z'
'x+1/2,y+1/2,z'
'-x+1/2,-y+1/2,-z'
'-x+1/2,y+1/2,-z'
'x+1/2,-y+1/2,z'
loop_
_atom_site_label
_atom_site_type_symbol
_atom_site_fract_x
_atom_site_fract_y
_atom_site_fract_z
Pr1 Pr 0.014 0.000 0.264
Pr2 Pr 0.249 0.000 0.736
Zn1 Zn 0.000 0.500 0.000
Zn2 Zn 0.230 0.500 0.944
Ag1 Ag 0.000 0.000 0.000
Ag2 Ag 0.074 0.500 0.649
Ag3 Ag 0.190 0.500 0.499
```